{
  "formula": "Sr2MnHg",
  "functional": "PBEsol",
  "state": "relaxed",
  "lattice": [[-1.950, 2.696, 5.614], [1.950, -2.696, 5.614], [1.950, 2.696, -5.614]],
  "species": ["Sr", "Sr", "Mn", "Hg"],
  "fractional_positions": [[0.000, 0.000, 0.000], [0.707, 0.207, 0.500], [0.427, 0.427, 0.000], [0.259, 0.759, 0.500]],
  "dft_energy_ev_per_cell": -13.43,
  "n_ef_per_ev_fu": 4.093,
  "crystal_system": "orthorhombic"
}



{
  "formula": "Mo2RhAu",
  "functional": "PBEsol",
  "state": "relaxed",
  "lattice": [[2.750, 0.000, 0.000], [0.000, 4.443, 0.000], [0.000, 0.000, 4.892]],
  "species": ["Mo", "Mo", "Rh", "Au"],
  "fractional_positions": [[0.000, 0.000, 0.000], [0.000, 0.500, 0.321], [0.500, 0.500, 0.832], [0.500, 0.000, 0.504]],
  "polymorph_energy_ev_per_fu": 0.00,
  "dft_energy_ev_per_cell": -35.62,
  "n_ef_per_ev_fu": 3.148,
  "crystal_system": "orthorhombic"
}



{
  "formula": "RbS3N",
  "functional": "PBEsol",
  "state": "relaxed",
  "lattice": [[6.442, 0.000, 0.000], [0.000, 6.442, 0.000], [0.000, 0.000, 6.442]],
  "species": ["Rb", "S", "S", "S", "N"],
  "fractional_positions": [[0.000, 0.000, 0.000], [0.000, 0.000, 0.500], [0.000, 0.500, 0.000], [0.500, 0.000, 0.000], [0.500, 0.500, 0.500]],
  "dft_energy_ev_per_cell": -11.54,
  "n_ef_per_ev_fu": 9.878,
  "crystal_system": "cubic"
}



{
  "formula": "Li2ZnNi",
  "functional": "PBEsol",
  "state": "relaxed",
  "lattice": [[3.494, 0.000, 0.000], [0.000, 3.494, 0.000], [0.000, 0.000, 4.043]],
  "species": ["Li", "Li", "Zn", "Ni"],
  "fractional_positions": [[0.000, 0.500, 0.000], [0.500, 0.000, 0.000], [0.000, 0.000, 0.500], [0.500, 0.500, 0.500]],
  "dft_energy_ev_per_cell": -11.97,
  "n_ef_per_ev_fu": 1.647,
  "crystal_system": "tetragonal"
}



{
  "formula": "Re24W5",
  "functional": "PBEsol",
  "state": "relaxed",
  "lattice": [[-4.773, 4.773, 4.773], [4.773, -4.773, 4.773], [4.773, 4.773, -4.773]],
  "species": ["Re", "Re", "Re", "Re", "Re", "Re", "Re", "Re", "Re", "Re", "Re", "Re", "Re", "Re", "Re", "Re", "Re", "Re", "Re", "Re", "Re", "Re", "Re", "Re", "W", "W", "W", "W", "W"],
  "fractional_positions": [[0.000, 0.193, 0.376], [0.000, 0.376, 0.193], [0.000, 0.402, 0.685], [0.000, 0.685, 0.402], [0.183, 0.807, 0.807], [0.193, 0.000, 0.376], [0.193, 0.376, 0.000], [0.283, 0.598, 0.598], [0.315, 0.315, 0.717], [0.315, 0.717, 0.315], [0.376, 0.000, 0.193], [0.376, 0.193, 0.000], [0.402, 0.000, 0.685], [0.402, 0.685, 0.000], [0.598, 0.283, 0.598], [0.598, 0.598, 0.283], [0.624, 0.624, 0.817], [0.624, 0.817, 0.624], [0.685, 0.000, 0.402], [0.685, 0.402, 0.000], [0.717, 0.315, 0.315], [0.807, 0.183, 0.807], [0.807, 0.807, 0.183], [0.817, 0.624, 0.624], [0.000, 0.000, 0.000], [0.000, 0.000, 0.641], [0.000, 0.641, 0.000], [0.359, 0.359, 0.359], [0.641, 0.000, 0.000]],
  "dft_energy_ev_per_cell": -388.67,
  "n_ef_per_ev_fu": 28.659,
  "crystal_system": "cubic"
}



{
  "formula": "KGaSi2",
  "functional": "PBEsol",
  "state": "relaxed",
  "lattice": [[-2.476, 2.476, 8.522], [2.476, -2.476, 8.522], [2.476, 2.476, -8.522]],
  "species": ["K", "K", "Ga", "Ga", "Si", "Si", "Si", "Si"],
  "fractional_positions": [[0.375, 0.625, 0.750], [0.625, 0.375, 0.250], [0.125, 0.875, 0.250], [0.875, 0.125, 0.750], [0.000, 0.000, 0.000], [0.000, 0.000, 0.500], [0.000, 0.500, 0.000], [0.500, 0.000, 0.500]],
  "dft_energy_ev_per_cell": -30.06,
  "n_ef_per_ev_fu": 1.547,
  "crystal_system": "tetragonal"
}



{
  "formula": "InCuRh",
  "functional": "PBEsol",
  "state": "relaxed",
  "lattice": [[-1.510, 1.764, 4.189], [1.510, -1.764, 4.189], [1.510, 1.764, -4.189]],
  "species": ["In", "Cu", "Rh"],
  "fractional_positions": [[0.000, 0.000, 0.000], [0.327, 0.327, 0.000], [0.671, 0.671, 0.000]],
  "polymorph_energy_ev_per_fu": 0.00,
  "dft_energy_ev_per_cell": -15.82,
  "n_ef_per_ev_fu": 1.439,
  "crystal_system": "orthorhombic"
}



{
  "formula": "MgZn4Cd",
  "functional": "PBEsol",
  "state": "relaxed",
  "lattice": [[0.000, 3.643, 3.643], [3.643, 0.000, 3.643], [3.643, 3.643, 0.000]],
  "species": ["Mg", "Zn", "Zn", "Zn", "Zn", "Cd"],
  "fractional_positions": [[0.000, 0.000, 0.000], [0.375, 0.375, 0.375], [0.375, 0.375, 0.876], [0.375, 0.876, 0.375], [0.876, 0.375, 0.375], [0.750, 0.750, 0.750]],
  "dft_energy_ev_per_cell": -9.59,
  "n_ef_per_ev_fu": 1.424,
  "crystal_system": "cubic"
}